A relaxed structure of BeSOF2, computed with PBE.

Values from the calculation:
Total energy = -22.99 eV per cell
ρ = 2.52 g/cm3
ΔE to the lowest computed polymorph = 0.0 meV/atom

abc: 3.1314 3.1314 6.3932
angles: 90.00 90.00 90.00
Space group P4/mmm (No. 123)
Symmetry-distinct sites (fractional):
Be  0.0000  0.0000  0.0000
S  0.5000  0.5000  0.5000
O  0.0000  0.0000  0.5000
F  0.0000  0.5000  0.0000